Computed, not measured: a relaxed LiNd3Rh crystal at the GGA-PBE level of DFT.

As for the polymorph energy (0 for the lowest one): 8.7 kJ per mole of atoms. The calculation puts the formation energy at -0.128 eV per atom.

The space group is Pm-3m (No. 221) and the conventional cell measures 5.575, 5.575 and 5.575 Å, with angles of 90.00, 90.00 and 90.00 degrees. The inequivalent atoms are Li at (0.000, 0.000, 0.000), Nd at (0.000, 0.500, 0.500) and Rh at (0.500, 0.500, 0.500).